BaRu6S8 | PBE | relaxed

Values from the calculation:
The value obtained for the formation energy from raw total energies is -7.07 eV per formula unit. Its density of states at the Fermi level is 0.798 states/eV/atom. Its magnetic moment is 0.0 μB per formula unit. For the calculated volume, the calculation gives 859 Å³ per cell.

```
data_BaRu6S8
_chemical_formula_sum 'Ba3 Ru18 S24'
_symmetry_space_group_name_H-M 'R -3'
_symmetry_Int_Tables_number 148
_symmetry_space_group_name_Hall '-R 3'
_cell_length_a 9.2700
_cell_length_b 9.2700
_cell_length_c 11.5387
_cell_angle_alpha 90.00
_cell_angle_beta 90.00
_cell_angle_gamma 120.00
loop_
_atom_site_label
_atom_site_type_symbol
_atom_site_fract_x
_atom_site_fract_y
_atom_site_fract_z
_atom_site_occupancy
Ba1 Ba 0.0000 0.0000 0.0000 1
Ru1 Ru 0.0207 0.8128 0.3851 1
S1 S 0.0000 0.0000 0.2635 1
S2 S 0.0298 0.7288 0.5824 1
```